Record 1
A plane-wave DFT calculation with PBE was carried out for crystalline Ba4MnMo at its relaxed geometry.

a b c (Å): 7.177 7.177 7.177
angles (deg): 60.00 60.00 60.00
Each line ends with the local moment (μB).
Atoms (fractional coordinates):
Ba 0.875 0.375 0.375  -0.14
Ba 0.375 0.375 0.875  -0.14
Ba 0.375 0.875 0.375  -0.14
Ba 0.375 0.375 0.375  -0.14
Mn 0.750 0.750 0.750  4.32
Mo 0.000 0.000 0.000  3.49

Values from the calculation:
Total magnetic moment (μB per atom): 1.29
Formation energy (meV/atom): 1338


Record 2
A plane-wave DFT calculation with PBE was carried out for crystalline La5AgPb3 at its relaxed geometry.

a b c (Å): 9.865 9.865 6.951
angles (deg): 90.00 90.00 120.00
Each line ends with the local moment (μB).
Atoms (fractional coordinates):
La 0.726 0.726 0.750  0.05
La 0.274 0.000 0.750  0.05
La 0.000 0.274 0.750  0.05
La 0.274 0.274 0.250  0.05
La 0.726 0.000 0.250  0.05
La 0.000 0.726 0.250  0.05
La 0.667 0.333 0.000  0.13
La 0.333 0.667 0.000  0.13
La 0.333 0.667 0.500  0.13
La 0.667 0.333 0.500  0.13
Ag 0.000 0.000 0.000  0.00
Ag 0.000 0.000 0.500  0.00
Pb 0.377 0.377 0.750  -0.01
Pb 0.623 0.000 0.750  -0.01
Pb 0.000 0.623 0.750  -0.01
Pb 0.623 0.623 0.250  -0.01
Pb 0.377 0.000 0.250  -0.01
Pb 0.000 0.377 0.250  -0.01

Values from the calculation:
Total magnetic moment (μB per atom): 0.10
Formation energy (meV/atom): -545


Record 3
A plane-wave DFT calculation with PBE was carried out for crystalline ZrCrOs4 at its relaxed geometry.

a b c (Å): 5.187 5.187 5.187
angles (deg): 60.00 60.00 60.00
Each line ends with the local moment (μB).
Atoms (fractional coordinates):
Zr 0.250 0.250 0.250  0.11
Cr 0.000 0.000 0.000  3.11
Os 0.626 0.626 0.123  -0.28
Os 0.626 0.123 0.626  -0.28
Os 0.626 0.626 0.626  -0.28
Os 0.123 0.626 0.626  -0.28

Values from the calculation:
Total magnetic moment (μB per atom): 0.39
Formation energy (meV/atom): 121


Record 4
A plane-wave DFT calculation with PBE was carried out for crystalline CeAsAu2 at its relaxed geometry.

a b c (Å): 5.090 4.131 4.131
angles (deg): 90.00 90.00 90.00
Each line ends with the local moment (μB).
Atoms (fractional coordinates):
As 0.500 0.500 0.500  -0.01
Au 0.000 0.000 0.500  0.02
Au 0.000 0.500 0.000  0.02
Ce 0.500 0.000 0.000  0.49

Values from the calculation:
Total magnetic moment (μB per atom): 0.14
Formation energy (meV/atom): -579


Record 5
A plane-wave DFT calculation with PBE was carried out for crystalline RbBaMg6 at its relaxed geometry.

a b c (Å): 7.536 7.536 5.394
angles (deg): 90.00 90.00 115.13
Atoms (fractional coordinates):
Rb 0.100 0.900 0.000
Ba 0.402 0.598 0.500
Mg 0.630 0.976 0.000
Mg 0.024 0.370 0.000
Mg 0.601 0.399 0.000
Mg 0.865 0.516 0.500
Mg 0.484 0.135 0.500
Mg 0.894 0.106 0.500

Values from the calculation:
Total magnetic moment (μB per atom): 0.00
Formation energy (meV/atom): 135
Energy above the lowest structure with this stoichiometry (kJ/mol of formula units): 0.0


Record 6
A plane-wave DFT calculation with PBE was carried out for crystalline Pu3V5Se12 at its relaxed geometry.

a b c (Å): 13.607 13.607 13.607
angles (deg): 109.47 109.47 109.47
Each line ends with the local moment (μB).
Atoms (fractional coordinates):
Pu 0.750 0.375 0.125  5.22
Pu 0.875 0.750 0.125  5.22
Pu 0.375 0.750 0.625  5.22
Pu 0.250 0.125 0.375  5.22
Pu 0.875 0.125 0.250  5.22
Pu 0.375 0.625 0.250  5.22
Pu 0.625 0.375 0.750  5.22
Pu 0.125 0.875 0.750  5.22
Pu 0.750 0.875 0.625  5.22
Pu 0.625 0.250 0.375  5.22
Pu 0.125 0.250 0.875  5.22
Pu 0.250 0.625 0.875  5.22
V 0.125 0.375 0.250  1.69
V 0.000 0.500 0.000  2.17
V 0.000 0.000 0.000  2.17
V 0.375 0.250 0.125  1.69
V 0.500 0.000 0.500  2.17
V 0.500 0.500 0.000  2.17
V 0.125 0.750 0.375  1.69
V 0.750 0.125 0.875  1.69
V 0.750 0.625 0.375  1.69
V 0.375 0.125 0.750  1.69
V 0.625 0.875 0.250  1.69
V 0.500 0.500 0.500  2.17
V 0.500 0.000 0.000  2.17
V 0.000 0.000 0.500  2.17
V 0.250 0.375 0.625  1.69
V 0.250 0.875 0.125  1.69
V 0.000 0.500 0.500  2.17
V 0.875 0.250 0.625  1.69
V 0.625 0.750 0.875  1.69
V 0.875 0.625 0.750  1.69
Se 0.710 0.119 0.031  -0.12
Se 0.321 0.531 0.411  -0.12
Se 0.969 0.381 0.290  -0.12
Se 0.531 0.210 0.119  -0.12
Se 0.590 0.710 0.679  -0.12
Se 0.969 0.589 0.179  -0.12
Se 0.321 0.790 0.410  -0.12
Se 0.089 0.910 0.119  -0.12
Se 0.589 0.969 0.679  -0.12
Se 0.710 0.590 0.179  -0.12
Se 0.790 0.469 0.381  -0.12
Se 0.821 0.911 0.031  -0.12
Se 0.119 0.710 0.531  -0.12
Se 0.381 0.411 0.090  -0.12
Se 0.090 0.911 0.381  -0.12
Se 0.410 0.119 0.589  -0.12
Se 0.090 0.179 0.210  -0.12
Se 0.469 0.679 0.089  -0.12
Se 0.821 0.910 0.290  -0.12
Se 0.119 0.410 0.089  -0.12
Se 0.381 0.969 0.790  -0.12
Se 0.589 0.619 0.410  -0.12
Se 0.911 0.821 0.531  -0.12
Se 0.790 0.321 0.910  -0.12
Se 0.411 0.381 0.590  -0.12
Se 0.089 0.179 0.469  -0.12
Se 0.210 0.679 0.090  -0.12
Se 0.179 0.090 0.710  -0.12
Se 0.619 0.031 0.210  -0.12
Se 0.881 0.590 0.911  -0.12
Se 0.531 0.321 0.911  -0.12
Se 0.590 0.881 0.411  -0.12
Se 0.910 0.821 0.790  -0.12
Se 0.910 0.089 0.619  -0.12
Se 0.881 0.290 0.469  -0.12
Se 0.179 0.089 0.969  -0.12
Se 0.619 0.589 0.910  -0.12
Se 0.411 0.031 0.321  -0.12
Se 0.290 0.410 0.821  -0.12
Se 0.210 0.531 0.619  -0.12
Se 0.911 0.090 0.881  -0.12
Se 0.679 0.210 0.590  -0.12
Se 0.469 0.790 0.881  -0.12
Se 0.031 0.411 0.821  -0.12
Se 0.410 0.290 0.321  -0.12
Se 0.031 0.619 0.710  -0.12
Se 0.679 0.469 0.589  -0.12
Se 0.290 0.881 0.969  -0.12

Values from the calculation:
Formation energy from raw total energies (eV per atom): -0.89
Total magnetic moment (μB per atom): 1.25


Record 7
A plane-wave DFT calculation with PBE was carried out for crystalline CdAs2Ru2 at its relaxed geometry.

a b c (Å): 7.372 7.372 3.024
angles (deg): 90.00 90.00 90.00
Atoms (fractional coordinates):
Ru 0.358 0.858 0.000
Ru 0.858 0.642 0.000
Ru 0.642 0.142 0.000
Ru 0.142 0.358 0.000
As 0.147 0.647 0.500
As 0.647 0.853 0.500
As 0.853 0.353 0.500
As 0.353 0.147 0.500
Cd 0.000 0.000 0.000
Cd 0.500 0.500 0.000

Values from the calculation:
Total magnetic moment (μB per atom): 0.00
Formation energy (meV/atom): 20
Energy above the lowest structure with this stoichiometry (kJ/mol of formula units): 0.0


Record 8
A plane-wave DFT calculation with PBE was carried out for crystalline PrHI at its relaxed geometry.

a b c (Å): 4.926 4.926 7.219
angles (deg): 70.21 70.21 90.02
Atoms (fractional coordinates):
Pr 0.239 0.179 0.439
Pr 0.570 0.510 0.778
H 0.154 0.595 0.608
H 0.655 0.094 0.609
I 0.404 0.844 0.108
I 0.904 0.344 0.108

Values from the calculation:
Total magnetic moment (μB per atom): 0.00
E (eV per atom): -3.77


total magnetic moment of number 7 (CdAs2Ru2)? 0.00 μB per atom